[1]
Computed, not measured: a relaxed structure of SiRuSe2 at the GGA-PBE level of DFT.

## Properties
total DFT energy (no corrections): -21.451 eV/cell
D(E_F): 2.5 states/eV per cell
space-group type: P4mm (99)

Cell: 3.2123 3.2128 7.3044 Å, 90.00 90.00 90.00°
Last column: nearest neighbours and their distance in Å.
Atoms (fractional coordinates):
Ru 0.5000 0.5000 0.7015  5 Se 2.56-2.75, 4 Si 2.58
Se 0.0000 0.0000 0.9128  4 Ru 2.75, 1 Si 2.76
Se 0.5000 0.5000 0.3505  1 Ru 2.56, 4 Si 2.64
Si 0.0000 0.0000 0.5352  4 Ru 2.58, 5 Se 2.64-2.76

***

[2]
Computed, not measured: a relaxed structure of SiRuSe2 at the GGA-PBE level of DFT.

## Properties
total DFT energy (no corrections): -22.341 eV/cell
D(E_F): 2.0 states/eV per cell
space-group type: Immm (71)

Cell: 7.0664 7.0664 7.0664 Å, 149.45 151.86 42.01°
Last column: nearest neighbours and their distance in Å.
Atoms (fractional coordinates):
Se 0.3863 0.3863 0.0000  2 Si 2.49, 2 Ru 2.59
Se 0.1137 0.1137 0.0000  2 Si 2.49, 2 Ru 2.59
Ru 0.2500 0.7500 0.5000  4 Si 2.53, 4 Se 2.59
Si 0.7500 0.2500 0.5000  4 Se 2.49, 4 Ru 2.53

***

[3]
Computed, not measured: a relaxed structure of SiRuSe2 at the GGA-PBE level of DFT.

## Properties
total DFT energy (no corrections): -19.272 eV/cell
D(E_F): 4.0 states/eV per cell
space-group type: F-43m (216)

Cell: 4.5190 4.5190 4.5190 Å, 60.00 60.00 60.00°
Last column: nearest neighbours and their distance in Å.
Atoms (fractional coordinates):
Se 0.0000 0.0000 0.0000  4 Se 2.77, 4 Si 2.77
Se 0.7500 0.7500 0.7500  4 Se 2.77, 4 Ru 2.77
Ru 0.5000 0.5000 0.5000  4 Si 2.77, 4 Se 2.77
Si 0.2500 0.2500 0.2500  4 Se 2.77, 4 Ru 2.77

***

[4]
Computed, not measured: a relaxed structure of SiRuSe2 at the GGA-PBE level of DFT.

## Properties
total DFT energy (no corrections): -41.383 eV/cell
D(E_F): 4.5 states/eV per cell
space-group type: I-42d (122)

Cell: 5.6826 5.6826 6.8802 Å, 65.61 65.61 90.00°
Last column: nearest neighbours and their distance in Å.
Atoms (fractional coordinates):
Si 0.5000 0.5000 0.0000  4 Se 2.50
Si 0.2500 0.7500 0.5000  4 Se 2.50
Se 0.8750 0.8895 0.7500  2 Ru 2.40, 2 Si 2.50
Se 0.6395 0.1250 0.2500  2 Ru 2.40, 2 Si 2.50
Se 0.3750 0.3605 0.7500  2 Ru 2.40, 2 Si 2.50
Se 0.1105 0.6250 0.2500  2 Ru 2.40, 2 Si 2.50
Ru 0.7500 0.2500 0.5000  4 Se 2.40
Ru 0.0000 0.0000 0.0000  4 Se 2.40

***

[5]
Computed, not measured: a relaxed structure of Si2RuSe at the GGA-PBE level of DFT.

## Properties
total DFT energy (no corrections): -22.546 eV/cell
D(E_F): 2.4 states/eV per cell
space-group type: Fmmm (69)

Cell: 3.9864 4.8432 3.9879 Å, 70.15 79.91 109.84°
Last column: nearest neighbours and their distance in Å.
Atoms (fractional coordinates):
Ru 0.0000 0.5000 0.5000  2 Se 2.56, 4 Si 2.56
Si 0.0000 0.0000 0.0000  2 Si 2.56, 2 Se 2.56, 2 Ru 2.56
Si 0.5000 0.0000 0.5000  2 Si 2.56, 2 Ru 2.56, 2 Se 2.56
Se 0.5000 0.5000 0.0000  2 Ru 2.56, 4 Si 2.56

***

[6]
Computed, not measured: a relaxed structure of SiRu3Se at the GGA-PBE level of DFT.

## Properties
total DFT energy (no corrections): -32.414 eV/cell
D(E_F): 5.0 states/eV per cell
space-group type: Pm-3m (221)
energy relative to the lowest polymorph listed for this composition: 0 meV/atom

Cell: 4.4185 4.4185 4.4185 Å, 90.00 90.00 90.00°
Last column: nearest neighbours and their distance in Å.
Atoms (fractional coordinates):
Ru 0.0000 0.5000 0.0000  2 Si 2.21
Ru 0.0000 0.0000 0.5000  2 Si 2.21
Ru 0.5000 0.0000 0.0000  2 Si 2.21
Se 0.5000 0.5000 0.5000  12 Ru 3.12
Si 0.0000 0.0000 0.0000  6 Ru 2.21

***

[7]
Computed, not measured: a relaxed structure of Si2RuSe at the GGA-PBE level of DFT.

## Properties
total DFT energy (no corrections): -22.936 eV/cell
D(E_F): 1.6 states/eV per cell
space-group type: R3m (160)

Cell: 8.7854 8.7854 8.7854 Å, 19.71 19.71 19.71°
Last column: nearest neighbours and their distance in Å.
Atoms (fractional coordinates):
Se 0.7686 0.7686 0.7686  3 Ru 2.48
Si 0.9831 0.9831 0.9831  3 Si 2.54
Si 0.2448 0.2448 0.2448  3 Si 2.54, 3 Ru 2.59
Ru 0.5036 0.5036 0.5036  3 Se 2.48, 3 Si 2.59

***

[8]
Computed, not measured: a relaxed structure of SiRuSe at the GGA-PBE level of DFT.

## Properties
total DFT energy (no corrections): -18.307 eV/cell
D(E_F): 1.7 states/eV per cell
space-group type: F-43m (216)

Cell: 4.1672 4.1671 4.1672 Å, 60.00 60.00 60.00°
Last column: nearest neighbours and their distance in Å.
Atoms (fractional coordinates):
Se 0.0000 0.0000 0.0000  4 Ru 2.55
Si 0.5000 0.5000 0.5000  4 Ru 2.55
Ru 0.7500 0.7500 0.7500  4 Se 2.55, 4 Si 2.55

***

[9]
Computed, not measured: a relaxed structure of Si2RuSe at the GGA-PBE level of DFT.

## Properties
total DFT energy (no corrections): -22.498 eV/cell
D(E_F): 2.3 states/eV per cell
space-group type: Immm (71)

Cell: 5.9392 5.9392 5.9392 Å, 152.06 137.30 51.81°
Last column: nearest neighbours and their distance in Å.
Atoms (fractional coordinates):
Si 0.5525 0.5525 0.0000  2 Ru 2.55, 4 Si 2.83
Si 0.9475 0.9475 0.0000  2 Ru 2.55, 4 Si 2.83
Ru 0.7500 0.2500 0.5000  4 Si 2.55, 4 Se 2.59
Se 0.2500 0.7500 0.5000  4 Ru 2.59, 2 Se 2.87

***

[10]
Computed, not measured: a relaxed structure of SiRuSe4 at the GGA-PBE level of DFT.

## Properties
total DFT energy (no corrections): -21.638 eV/cell
D(E_F): 6.0 states/eV per cell
space-group type: F-43m (216)

Cell: 5.5848 5.5848 5.5848 Å, 60.00 60.00 60.00°
Last column: nearest neighbours and their distance in Å.
Atoms (fractional coordinates):
Se 0.3744 0.8768 0.3744  6 Se 2.78-2.81
Se 0.8768 0.3744 0.3744  6 Se 2.78-2.81
Se 0.3744 0.3744 0.8768  6 Se 2.78-2.81
Se 0.3744 0.3744 0.3744  6 Se 2.78-2.81
Si 0.7500 0.7500 0.7500  12 Se 3.28, 4 Ru 3.42
Ru 0.0000 0.0000 0.0000  12 Se 3.27, 4 Si 3.42

***

[11]
Computed, not measured: a relaxed structure of Si2RuSe at the GGA-PBE level of DFT.

## Properties
total DFT energy (no corrections): -46.345 eV/cell
D(E_F): 2.4 states/eV per cell
space-group type: I-42d (122)

Cell: 5.6353 5.6353 6.6429 Å, 64.90 64.90 90.00°
Last column: nearest neighbours and their distance in Å.
Atoms (fractional coordinates):
Ru 0.7500 0.2500 0.5000  4 Si 2.28
Ru 0.0000 0.0000 0.0000  4 Si 2.28
Se 0.2500 0.7500 0.5000  4 Si 2.52
Se 0.5000 0.5000 0.0000  4 Si 2.52
Si 0.3750 0.3395 0.7500  2 Ru 2.28, 2 Se 2.52
Si 0.6605 0.1250 0.2500  2 Ru 2.28, 2 Se 2.52
Si 0.8750 0.9105 0.7500  2 Ru 2.28, 2 Se 2.52
Si 0.0895 0.6250 0.2500  2 Ru 2.28, 2 Se 2.52

***

[12]
Computed, not measured: a relaxed structure of Si2RuSe at the GGA-PBE level of DFT.

## Properties
total DFT energy (no corrections): -23.222 eV/cell
D(E_F): 1.8 states/eV per cell
space-group type: Imm2 (44)

Cell: 6.4369 6.4369 6.4369 Å, 154.12 144.09 44.79°
Last column: nearest neighbours and their distance in Å.
Atoms (fractional coordinates):
Se 0.3036 0.8036 0.5000  2 Ru 2.86, 6 Si 2.86-3.12, 2 Se 2.88
Si 0.6795 0.1795 0.5000  2 Ru 2.47
Si 0.0058 0.0058 0.0000  4 Ru 2.45
Ru 0.5112 0.5112 0.0000  6 Si 2.45-2.47